[1]
{"formula": "LaCr2CoRh", "functional": "GGA-PBE", "state": "relaxed", "lattice": [[4.688, 0.000, 0.000], [0.000, 4.688, 0.000], [0.000, 0.000, 4.374]], "species": ["La", "Cr", "Cr", "Co", "Rh"], "fractional_positions": [[0.000, 0.000, 0.000], [0.000, 0.500, 0.000], [0.500, 0.000, 0.000], [0.000, 0.000, 0.500], [0.500, 0.500, 0.500]], "energy_ev_per_atom": -5.862, "formation_energy_kj_per_mol_atoms": 179.9, "n_ef_per_ev_cell": 6.75, "spacegroup": "No. 123", "crystal_system": "tetragonal"}


[2]
{"formula": "LaCrCoSi2", "functional": "GGA-PBE", "state": "relaxed", "lattice": [[5.317, 0.000, 0.000], [0.000, 5.317, 0.000], [0.000, 0.000, 4.433]], "species": ["La", "Cr", "Co", "Si", "Si"], "fractional_positions": [[0.000, 0.000, 0.000], [0.500, 0.500, 0.500], [0.000, 0.000, 0.500], [0.000, 0.500, 0.000], [0.500, 0.000, 0.000]], "energy_ev_per_atom": -4.404, "n_ef_per_ev_cell": 7.28, "spacegroup": "No. 123", "crystal_system": "tetragonal", "raw_formation_energy_ev_per_atom": 2.10}


[3]
{"formula": "LiCr2Co", "functional": "GGA-PBE", "state": "relaxed", "lattice": [[4.120, 0.000, 0.000], [0.000, 4.120, 0.000], [0.000, 0.000, 2.745]], "species": ["Li", "Cr", "Cr", "Co"], "fractional_positions": [[0.000, 0.000, 0.000], [0.000, 0.500, 0.500], [0.500, 0.000, 0.500], [0.500, 0.500, 0.000]], "energy_ev_per_atom": -6.557, "formation_energy_kj_per_mol_atoms": 49.2, "n_ef_per_ev_cell": 4.45, "spacegroup": "No. 123", "crystal_system": "tetragonal"}


[4]
{"formula": "LiCr2Co", "functional": "GGA-PBE", "state": "relaxed", "lattice": [[2.312, 0.000, 0.000], [0.000, 3.930, 0.000], [0.000, 0.000, 5.047]], "species": ["Li", "Cr", "Cr", "Co"], "fractional_positions": [[0.000, 0.000, 0.000], [0.000, 0.000, 0.493], [0.500, 0.500, 0.739], [0.500, 0.500, 0.225]], "energy_ev_per_atom": -6.694, "formation_energy_kj_per_mol_atoms": 36.0, "n_ef_per_ev_cell": 3.97, "spacegroup": "No. 25", "crystal_system": "orthorhombic"}


[5]
{"formula": "LiCr2Co", "functional": "GGA-PBE", "state": "relaxed", "lattice": [[2.351, 0.000, 0.000], [0.000, 4.193, 0.000], [-0.920, 0.000, 4.583]], "species": ["Li", "Cr", "Cr", "Co"], "fractional_positions": [[0.000, 0.000, 0.000], [0.218, 0.500, 0.743], [0.782, 0.500, 0.257], [0.500, 0.000, 0.500]], "energy_ev_per_atom": -6.748, "formation_energy_kj_per_mol_atoms": 30.8, "n_ef_per_ev_cell": 4.23, "spacegroup": "No. 10", "crystal_system": "monoclinic"}


[6]
{"formula": "LiCr2Co", "functional": "GGA-PBE", "state": "relaxed", "lattice": [[2.425, 0.000, 0.000], [0.000, 2.425, 0.000], [0.000, 0.000, 8.193]], "species": ["Li", "Cr", "Cr", "Co"], "fractional_positions": [[0.000, 0.000, 0.000], [0.500, 0.500, 0.281], [0.500, 0.500, 0.719], [0.000, 0.000, 0.500]], "energy_ev_per_atom": -6.702, "formation_energy_kj_per_mol_atoms": 35.2, "n_ef_per_ev_cell": 6.12, "spacegroup": "No. 123", "crystal_system": "tetragonal"}


[7]
{"formula": "LiCr2Co", "functional": "GGA-PBE", "state": "relaxed", "lattice": [[2.363, 0.000, 0.000], [0.000, 3.981, 0.000], [-0.630, 0.000, 4.794]], "species": ["Li", "Cr", "Cr", "Co"], "fractional_positions": [[0.000, 0.000, 0.000], [0.262, 0.500, 0.740], [0.489, 0.000, 0.497], [0.749, 0.500, 0.237]], "energy_ev_per_atom": -6.765, "formation_energy_kj_per_mol_atoms": 29.1, "n_ef_per_ev_cell": 3.87, "spacegroup": "No. 6", "crystal_system": "monoclinic"}


[8]
{"formula": "LiCr2Co", "functional": "GGA-PBE", "state": "relaxed", "lattice": [[2.907, 0.000, 0.000], [0.000, 3.900, 0.000], [0.000, 0.000, 4.094]], "species": ["Li", "Cr", "Cr", "Co"], "fractional_positions": [[0.000, 0.000, 0.000], [0.000, 0.500, 0.500], [0.500, 0.000, 0.500], [0.500, 0.500, 0.000]], "energy_ev_per_atom": -6.747, "formation_energy_kj_per_mol_atoms": 30.8, "n_ef_per_ev_cell": 3.97, "spacegroup": "No. 47", "crystal_system": "orthorhombic"}


[9]
{"formula": "LiCrCo2", "functional": "GGA-PBE", "state": "relaxed", "lattice": [[-3.112, 3.112, 2.497], [3.112, -3.112, 2.497], [3.112, 3.112, -2.497]], "species": ["Li", "Li", "Cr", "Cr", "Co", "Co", "Co", "Co"], "fractional_positions": [[0.000, 0.000, 0.000], [0.750, 0.250, 0.500], [0.250, 0.750, 0.500], [0.500, 0.500, 0.000], [0.158, 0.625, 0.033], [0.375, 0.408, 0.533], [0.592, 0.125, 0.967], [0.875, 0.842, 0.467]], "energy_ev_per_atom": -5.874, "formation_energy_kj_per_mol_atoms": 54.3, "n_ef_per_ev_cell": 6.66, "spacegroup": "No. 122", "crystal_system": "tetragonal"}


[10]
{"formula": "LiCr2Co", "functional": "GGA-PBE", "state": "relaxed", "lattice": [[-1.654, 1.654, 4.044], [1.654, -1.654, 4.044], [1.654, 1.654, -4.044]], "species": ["Li", "Cr", "Cr", "Co"], "fractional_positions": [[0.000, 0.000, 0.000], [0.250, 0.750, 0.500], [0.750, 0.250, 0.500], [0.500, 0.500, 0.000]], "energy_ev_per_atom": -6.672, "formation_energy_kj_per_mol_atoms": 38.1, "n_ef_per_ev_cell": 5.08, "spacegroup": "No. 139", "crystal_system": "tetragonal"}


[11]
{"formula": "LiCrCo2", "functional": "GGA-PBE", "state": "relaxed", "lattice": [[2.367, 0.000, 0.000], [0.000, 3.935, 0.000], [-0.737, 0.000, 4.776]], "species": ["Li", "Cr", "Co", "Co"], "fractional_positions": [[0.000, 0.000, 0.000], [0.500, 0.000, 0.500], [0.259, 0.500, 0.748], [0.741, 0.500, 0.252]], "energy_ev_per_atom": -6.174, "formation_energy_kj_per_mol_atoms": 25.4, "n_ef_per_ev_cell": 4.47, "spacegroup": "No. 10", "crystal_system": "monoclinic"}


[12]
{"formula": "LiCrCo2", "functional": "GGA-PBE", "state": "relaxed", "lattice": [[1.371, -1.981, 0.000], [1.371, 1.981, 0.000], [0.000, 0.000, 8.586]], "species": ["Li", "Cr", "Co", "Co"], "fractional_positions": [[0.000, 0.000, 0.000], [0.500, 0.500, 0.724], [0.000, 0.000, 0.487], [0.500, 0.500, 0.252]], "energy_ev_per_atom": -6.194, "formation_energy_kj_per_mol_atoms": 23.5, "n_ef_per_ev_cell": 5.31, "spacegroup": "No. 35", "crystal_system": "orthorhombic"}


[13]
{"formula": "LiCrCo2", "functional": "GGA-PBE", "state": "relaxed", "lattice": [[1.403, -1.981, 0.000], [1.403, 1.981, 0.000], [0.000, 0.000, 8.339]], "species": ["Li", "Cr", "Co", "Co"], "fractional_positions": [[0.000, 0.000, 0.000], [0.000, 0.000, 0.500], [0.500, 0.500, 0.261], [0.500, 0.500, 0.739]], "energy_ev_per_atom": -6.262, "formation_energy_kj_per_mol_atoms": 16.9, "n_ef_per_ev_cell": 4.34, "spacegroup": "No. 65", "crystal_system": "orthorhombic"}


[14]
{"formula": "LiCr2Co", "functional": "GGA-PBE", "state": "relaxed", "lattice": [[2.440, 0.000, 0.000], [0.000, 2.440, 0.000], [0.000, 0.000, 8.013]], "species": ["Li", "Cr", "Cr", "Co"], "fractional_positions": [[0.000, 0.000, 0.000], [0.000, 0.000, 0.461], [0.500, 0.500, 0.714], [0.500, 0.500, 0.252]], "energy_ev_per_atom": -6.744, "formation_energy_kj_per_mol_atoms": 31.1, "n_ef_per_ev_cell": 5.48, "spacegroup": "No. 99", "crystal_system": "tetragonal"}


[15]
{"formula": "LiCrCo2", "functional": "GGA-PBE", "state": "relaxed", "lattice": [[3.982, 0.000, 0.000], [0.000, 3.982, 0.000], [0.000, 0.000, 2.714]], "species": ["Li", "Cr", "Co", "Co"], "fractional_positions": [[0.000, 0.000, 0.000], [0.500, 0.500, 0.000], [0.000, 0.500, 0.500], [0.500, 0.000, 0.500]], "energy_ev_per_atom": -6.189, "formation_energy_kj_per_mol_atoms": 23.9, "n_ef_per_ev_cell": 4.02, "spacegroup": "No. 123", "crystal_system": "tetragonal"}


[16]
{"formula": "LiCr2Co", "functional": "GGA-PBE", "state": "relaxed", "lattice": [[-3.239, 3.239, 2.322], [3.239, -3.239, 2.322], [3.239, 3.239, -2.322]], "species": ["Li", "Li", "Cr", "Cr", "Cr", "Cr", "Co", "Co"], "fractional_positions": [[0.000, 0.000, 0.000], [0.750, 0.250, 0.500], [0.158, 0.125, 0.533], [0.375, 0.842, 0.967], [0.592, 0.625, 0.467], [0.875, 0.408, 0.033], [0.250, 0.750, 0.500], [0.500, 0.500, 0.000]], "energy_ev_per_atom": -6.354, "formation_energy_kj_per_mol_atoms": 68.8, "n_ef_per_ev_cell": 4.80, "spacegroup": "No. 122", "crystal_system": "tetragonal"}


[17]
{"formula": "LiCr2Co", "functional": "GGA-PBE", "state": "relaxed", "lattice": [[1.251, 0.722, 8.751], [-1.251, 0.722, 8.751], [0.000, -1.444, 8.751]], "species": ["Li", "Cr", "Cr", "Co"], "fractional_positions": [[0.000, 0.000, 0.000], [0.507, 0.507, 0.507], [0.757, 0.757, 0.757], [0.249, 0.249, 0.249]], "energy_ev_per_atom": -6.768, "formation_energy_kj_per_mol_atoms": 28.8, "n_ef_per_ev_cell": 3.76, "spacegroup": "No. 160", "crystal_system": "trigonal"}


[18]
{"formula": "LiCr2Co", "functional": "GGA-PBE", "state": "relaxed", "lattice": [[1.248, 0.720, 8.845], [-1.248, 0.720, 8.845], [0.000, -1.441, 8.845]], "species": ["Li", "Cr", "Cr", "Co"], "fractional_positions": [[0.000, 0.000, 0.000], [0.243, 0.243, 0.243], [0.757, 0.757, 0.757], [0.500, 0.500, 0.500]], "energy_ev_per_atom": -6.719, "formation_energy_kj_per_mol_atoms": 33.6, "n_ef_per_ev_cell": 5.19, "spacegroup": "No. 166", "crystal_system": "trigonal"}


[19]
{"formula": "LiCr2Co", "functional": "GGA-PBE", "state": "relaxed", "lattice": [[0.000, 2.850, 2.850], [2.850, 0.000, 2.850], [2.850, 2.850, 0.000]], "species": ["Li", "Cr", "Cr", "Co"], "fractional_positions": [[0.000, 0.000, 0.000], [0.500, 0.500, 0.500], [0.750, 0.750, 0.750], [0.250, 0.250, 0.250]], "energy_ev_per_atom": -6.764, "formation_energy_kj_per_mol_atoms": 29.2, "n_ef_per_ev_cell": 2.84, "spacegroup": "No. 216", "crystal_system": "cubic"}


[20]
{"formula": "LiCr2Co", "functional": "GGA-PBE", "state": "relaxed", "lattice": [[0.000, 2.870, 2.870], [2.870, 0.000, 2.870], [2.870, 2.870, 0.000]], "species": ["Li", "Cr", "Cr", "Co"], "fractional_positions": [[0.000, 0.000, 0.000], [0.250, 0.250, 0.250], [0.750, 0.750, 0.750], [0.500, 0.500, 0.500]], "energy_ev_per_atom": -6.590, "formation_energy_kj_per_mol_atoms": 46.0, "n_ef_per_ev_cell": 4.65, "spacegroup": "No. 225", "crystal_system": "cubic"}


[21]
{"formula": "LiCrCo2", "functional": "GGA-PBE", "state": "relaxed", "lattice": [[2.437, 0.000, 0.000], [0.000, 2.437, 0.000], [0.000, 0.000, 7.940]], "species": ["Li", "Cr", "Co", "Co"], "fractional_positions": [[0.000, 0.000, 0.000], [0.500, 0.500, 0.706], [0.000, 0.000, 0.477], [0.500, 0.500, 0.257]], "energy_ev_per_atom": -6.169, "formation_energy_kj_per_mol_atoms": 25.8, "n_ef_per_ev_cell": 4.51, "spacegroup": "No. 99", "crystal_system": "tetragonal"}


[22]
{"formula": "LiCrCo2", "functional": "GGA-PBE", "state": "relaxed", "lattice": [[-1.397, 1.942, 3.994], [1.397, -1.942, 3.994], [1.397, 1.942, -3.994]], "species": ["Li", "Cr", "Co", "Co"], "fractional_positions": [[0.000, 0.000, 0.000], [0.739, 0.239, 0.500], [0.249, 0.749, 0.500], [0.505, 0.505, 0.000]], "energy_ev_per_atom": -6.161, "formation_energy_kj_per_mol_atoms": 26.6, "n_ef_per_ev_cell": 3.78, "spacegroup": "No. 44", "crystal_system": "orthorhombic"}


[23]
{"formula": "LiCr2Co", "functional": "GGA-PBE", "state": "relaxed", "lattice": [[1.415, -1.978, 0.000], [1.415, 1.978, 0.000], [0.000, 0.000, 8.504]], "species": ["Li", "Cr", "Cr", "Co"], "fractional_positions": [[0.000, 0.000, 0.000], [0.000, 0.000, 0.512], [0.500, 0.500, 0.278], [0.500, 0.500, 0.747]], "energy_ev_per_atom": -6.855, "formation_energy_kj_per_mol_atoms": 20.4, "n_ef_per_ev_cell": 3.43, "spacegroup": "No. 35", "crystal_system": "orthorhombic"}


[24]
{"formula": "LiCrCo2", "functional": "GGA-PBE", "state": "relaxed", "lattice": [[4.278, -1.222, 0.000], [4.278, 1.222, 0.000], [-0.787, 0.000, 4.228]], "species": ["Li", "Cr", "Co", "Co"], "fractional_positions": [[0.000, 0.000, 0.000], [0.773, 0.773, 0.316], [0.244, 0.244, 0.804], [0.521, 0.521, 0.510]], "energy_ev_per_atom": -6.196, "formation_energy_kj_per_mol_atoms": 23.3, "n_ef_per_ev_cell": 4.58, "spacegroup": "No. 8", "crystal_system": "monoclinic"}


[25]
{"formula": "LiCr2Co", "functional": "GGA-PBE", "state": "relaxed", "lattice": [[4.031, -1.211, 0.000], [4.031, 1.211, 0.000], [-0.375, 0.000, 4.590]], "species": ["Li", "Cr", "Cr", "Co"], "fractional_positions": [[0.000, 0.000, 0.000], [0.516, 0.516, 0.510], [0.755, 0.755, 0.245], [0.252, 0.252, 0.756]], "energy_ev_per_atom": -6.692, "formation_energy_kj_per_mol_atoms": 36.1, "n_ef_per_ev_cell": 5.45, "spacegroup": "No. 8", "crystal_system": "monoclinic"}


[26]
{"formula": "LiCrCo2", "functional": "GGA-PBE", "state": "relaxed", "lattice": [[0.000, 2.769, 2.769], [2.769, 0.000, 2.769], [2.769, 2.769, 0.000]], "species": ["Li", "Cr", "Co", "Co"], "fractional_positions": [[0.000, 0.000, 0.000], [0.500, 0.500, 0.500], [0.250, 0.250, 0.250], [0.750, 0.750, 0.750]], "energy_ev_per_atom": -6.250, "formation_energy_kj_per_mol_atoms": 18.1, "n_ef_per_ev_cell": 1.89, "spacegroup": "No. 225", "crystal_system": "cubic"}


[27]
{"formula": "LiCrCo2", "functional": "GGA-PBE", "state": "relaxed", "lattice": [[2.895, 0.000, 0.000], [0.000, 2.895, 0.000], [0.000, 0.000, 5.656]], "species": ["Li", "Cr", "Co", "Co"], "fractional_positions": [[0.000, 0.000, 0.000], [0.500, 0.500, 0.710], [0.000, 0.000, 0.474], [0.500, 0.500, 0.243]], "energy_ev_per_atom": -6.045, "formation_energy_kj_per_mol_atoms": 37.8, "n_ef_per_ev_cell": 4.80, "spacegroup": "No. 99", "crystal_system": "tetragonal"}


[28]
{"formula": "Li3CrCo", "functional": "GGA-PBE", "state": "relaxed", "lattice": [[4.321, 0.000, 0.000], [0.000, 4.321, 0.000], [0.000, 0.000, 4.321]], "species": ["Li", "Li", "Li", "Cr", "Co"], "fractional_positions": [[0.000, 0.000, 0.500], [0.000, 0.500, 0.000], [0.500, 0.000, 0.000], [0.500, 0.500, 0.500], [0.000, 0.000, 0.000]], "energy_ev_per_atom": -3.194, "formation_energy_kj_per_mol_atoms": 125.5, "n_ef_per_ev_cell": 5.84, "spacegroup": "No. 221", "crystal_system": "cubic"}


[29]
{"formula": "LiCr2Co", "functional": "GGA-PBE", "state": "relaxed", "lattice": [[2.915, 0.000, 0.000], [0.000, 2.915, 0.000], [0.000, 0.000, 5.615]], "species": ["Li", "Cr", "Cr", "Co"], "fractional_positions": [[0.000, 0.000, 0.000], [0.000, 0.000, 0.481], [0.500, 0.500, 0.720], [0.500, 0.500, 0.244]], "energy_ev_per_atom": -6.755, "formation_energy_kj_per_mol_atoms": 30.1, "n_ef_per_ev_cell": 2.76, "spacegroup": "No. 99", "crystal_system": "tetragonal"}


[30]
{"formula": "LiCrCo2", "functional": "GGA-PBE", "state": "relaxed", "lattice": [[1.250, 0.722, 8.415], [-1.250, 0.722, 8.415], [0.000, -1.443, 8.415]], "species": ["Li", "Cr", "Co", "Co"], "fractional_positions": [[0.000, 0.000, 0.000], [0.500, 0.500, 0.500], [0.246, 0.246, 0.246], [0.754, 0.754, 0.754]], "energy_ev_per_atom": -6.275, "formation_energy_kj_per_mol_atoms": 15.6, "n_ef_per_ev_cell": 3.40, "spacegroup": "No. 166", "crystal_system": "trigonal"}